[1]
AlAsIr2: relaxed, PBE. Values from VASP.

Geometry as Quantum ESPRESSO input:
```
&SYSTEM
  ibrav = 0, nat = 4, ntyp = 3
/
ATOMIC_SPECIES
Ir 192.22 Ir.upf
As 74.92 As.upf
Al 26.98 Al.upf
ATOMIC_POSITIONS angstrom
Ir 0.000 0.000 0.000
Ir 2.749 -0.149 1.029
As 0.625 -1.107 2.369
Al 1.529 -2.202 -0.204
CELL_PARAMETERS angstrom
-0.596 -3.161 1.136
3.653 -1.244 -1.545
1.846 0.947 3.602
```

Summary:
E_tot: -27.1 eV/f.u.
E_form: -0.243 eV per atom



[2]
AgPdS3: relaxed, PBE. Values from VASP.

Geometry as Quantum ESPRESSO input:
```
&SYSTEM
  ibrav = 0, nat = 5, ntyp = 3
/
ATOMIC_SPECIES
Ag 107.87 Ag.upf
S 32.06 S.upf
Pd 106.42 Pd.upf
ATOMIC_POSITIONS angstrom
Ag -2.964 -2.839 0.231
S -0.417 -1.397 1.873
S -0.221 -1.870 -1.444
S -2.326 0.428 -0.198
Pd 0.000 0.000 0.000
CELL_PARAMETERS angstrom
-0.443 -3.741 -2.888
-0.833 -2.793 3.746
-4.652 0.856 -0.396
```

Summary:
Energy relative to the elements, uncorrected: 0.601 eV/atom
E_tot: -17.4 eV/f.u.



[3]
Mn2InTe: relaxed, PBE. Values from VASP.

Geometry as Quantum ESPRESSO input:
```
&SYSTEM
  ibrav = 0, nat = 4, ntyp = 3
/
ATOMIC_SPECIES
Te 127.60 Te.upf
Mn 54.94 Mn.upf
In 114.82 In.upf
ATOMIC_POSITIONS angstrom
Te 3.172 3.172 3.172
Mn 1.586 1.586 1.586
Mn 4.758 4.758 4.758
In 0.000 0.000 0.000
CELL_PARAMETERS angstrom
0.000 3.172 3.172
3.172 0.000 3.172
3.172 3.172 0.000
```

Summary:
Energy relative to the elements, uncorrected: 0.599 eV/atom
E_tot: -21.8 eV/f.u.



[4]
CoRe3: relaxed, PBE. Values from VASP.

Geometry as Quantum ESPRESSO input:
```
&SYSTEM
  ibrav = 0, nat = 4, ntyp = 2
/
ATOMIC_SPECIES
Co 58.93 Co.upf
Re 186.21 Re.upf
ATOMIC_POSITIONS angstrom
Co 0.000 0.000 0.000
Re 2.158 1.246 0.881
Re 6.475 3.738 2.643
Re 4.316 2.492 1.762
CELL_PARAMETERS angstrom
4.316 0.000 0.000
2.158 3.738 0.000
2.158 1.246 3.524
```

Summary:
E_tot: -43.4 eV/f.u.
E_form: 0.275 eV per atom



[5]
SbAsAu3: relaxed, PBE. Values from VASP.

Geometry as Quantum ESPRESSO input:
```
&SYSTEM
  ibrav = 0, nat = 5, ntyp = 3
/
ATOMIC_SPECIES
Au 196.97 Au.upf
Sb 121.76 Sb.upf
As 74.92 As.upf
ATOMIC_POSITIONS angstrom
Au 2.481 0.000 0.000
Au 0.000 0.000 2.481
Au 0.000 2.481 0.000
Sb 2.481 2.481 2.481
As 0.000 0.000 0.000
CELL_PARAMETERS angstrom
4.961 0.000 0.000
0.000 4.961 0.000
0.000 0.000 4.961
```

Summary:
Energy relative to the elements, uncorrected: 0.478 eV/atom
E_tot: -16.2 eV/f.u.



[6]
LaTb2Cu3: relaxed, PBE. Values from VASP.

Geometry as Quantum ESPRESSO input:
```
&SYSTEM
  ibrav = 0, nat = 6, ntyp = 3
/
ATOMIC_SPECIES
Tb 158.93 Tb.upf
Cu 63.55 Cu.upf
La 138.91 La.upf
ATOMIC_POSITIONS angstrom
Tb -8.490 -3.517 1.578
Tb -1.506 -2.626 -0.174
Cu 0.000 0.000 0.000
Cu -7.080 -0.903 1.776
Cu -3.235 -0.413 0.811
La -4.998 -3.072 0.702
CELL_PARAMETERS angstrom
-0.496 -1.883 -2.934
0.815 -2.944 1.752
-10.315 -1.316 2.587
```

Summary:
E_tot: -27.7 eV/f.u.
E_form: -0.205 eV per atom